[1]
Material: CuNiCl2
Method: DFT, PBE
State: relaxed

a b c (Å): 6.5259 6.5259 6.5259
angles (deg): 131.62 131.62 70.83
Fractional positions:
Cu: 0.0000 0.0000 0.0000
Cu: 0.7500 0.2500 0.5000
Ni: 0.2500 0.7500 0.5000
Ni: 0.5000 0.5000 0.0000
Cl: 0.1329 0.6250 0.0079
Cl: 0.3750 0.3829 0.5079
Cl: 0.6171 0.1250 0.9921
Cl: 0.8750 0.8671 0.4921

Output
N(E_F)   3.9 states/eV/f.u.
Symmetry   I-42d (122)
Calculated density   4.2 Mg/m³
Distance to the lowest polymorph of the same formula   59 meV/atom

[2]
Material: CuNiCl
Method: DFT, PBE
State: relaxed

a b c (Å): 3.0930 3.0930 5.2953
angles (deg): 90.00 90.00 120.00
Fractional positions:
Cu: 0.0000 0.0000 0.0000
Ni: 0.6667 0.3333 0.3200
Cl: 0.3333 0.6667 0.6203

Output
N(E_F)   3.1 states/eV/f.u.
Symmetry   P3m1 (156)
Calculated density   6.0 Mg/m³
Distance to the lowest polymorph of the same formula   0 meV/atom

[3]
Material: Cu2NiCl
Method: DFT, PBE
State: relaxed

a b c (Å): 3.0265 3.0346 6.3719
angles (deg): 90.00 90.50 90.00
Fractional positions:
Cu: 0.0050 0.0000 0.2017
Cu: 0.9950 0.0000 0.7983
Ni: 0.5000 0.5000 0.0000
Cl: 0.0000 0.5000 0.5000

Output
N(E_F)   4.7 states/eV/f.u.
Symmetry   P2/m (10)
Calculated density   6.3 Mg/m³
Distance to the lowest polymorph of the same formula   39 meV/atom

[4]
Material: CuNiCl
Method: DFT, PBE
State: relaxed

a b c (Å): 4.0399 4.0399 4.0399
angles (deg): 60.00 60.00 60.00
Fractional positions:
Cu: 0.0000 0.0000 0.0000
Ni: 0.7500 0.7500 0.7500
Cl: 0.5000 0.5000 0.5000

Output
N(E_F)   4.8 states/eV/f.u.
Symmetry   F-43m (216)
Calculated density   5.6 Mg/m³
Distance to the lowest polymorph of the same formula   256 meV/atom

[5]
Material: CuNi2Cl
Method: DFT, PBE
State: relaxed

a b c (Å): 4.0879 4.0879 6.0189
angles (deg): 96.85 96.85 41.38
Fractional positions:
Cu: 0.0000 0.0000 0.0000
Ni: 0.4730 0.4730 0.3395
Ni: 0.7391 0.7391 0.1822
Cl: 0.0447 0.0447 0.6340

Output
N(E_F)   5.7 states/eV/f.u.
Symmetry   Cm (8)
Calculated density   5.4 Mg/m³
Distance to the lowest polymorph of the same formula   108 meV/atom

[6]
Material: CuNi5Cl12
Method: DFT, PBE
State: relaxed

a b c (Å): 6.0449 6.0449 12.4884
angles (deg): 90.06 90.06 120.08
Fractional positions:
Cu: 0.0000 0.0000 0.0000
Ni: 0.1667 0.8333 0.5000
Ni: 0.3333 0.6667 0.0000
Ni: 0.5000 0.5000 0.5000
Ni: 0.6667 0.3333 0.0000
Ni: 0.8333 0.1667 0.5000
Cl: 0.0003 0.3420 0.1056
Cl: 0.9997 0.6580 0.8944
Cl: 0.1661 0.1661 0.3960
Cl: 0.1673 0.5005 0.6039
Cl: 0.3406 0.3406 0.8946
Cl: 0.3420 0.0003 0.1056
Cl: 0.5005 0.1673 0.6039
Cl: 0.4995 0.8327 0.3961
Cl: 0.6580 0.9997 0.8944
Cl: 0.6594 0.6594 0.1054
Cl: 0.8327 0.4995 0.3961
Cl: 0.8339 0.8339 0.6040

Output
N(E_F)   14.6 states/eV/f.u.
Symmetry   C2/m (12)
Calculated density   3.3 Mg/m³
DFT total energy   -3.621 eV/atom

[7]
Material: CuNiCl2
Method: DFT, PBE
State: relaxed

a b c (Å): 3.7875 3.7875 6.7790
angles (deg): 90.00 90.00 128.01
Fractional positions:
Cu: 0.0000 0.0000 0.0000
Ni: 0.0000 0.0000 0.5000
Cl: 0.5000 0.5000 0.2564
Cl: 0.5000 0.5000 0.7436

Output
N(E_F)   2.3 states/eV/f.u.
Symmetry   Cmmm (65)
Calculated density   4.2 Mg/m³
Distance to the lowest polymorph of the same formula   213 meV/atom

[8]
Material: CuNi3Cl
Method: DFT, PBE
State: relaxed

a b c (Å): 4.4095 4.4095 4.4095
angles (deg): 90.00 90.00 90.00
Fractional positions:
Cu: 0.0000 0.0000 0.0000
Ni: 0.0000 0.0000 0.5000
Ni: 0.0000 0.5000 0.0000
Ni: 0.5000 0.0000 0.0000
Cl: 0.5000 0.5000 0.5000

Output
N(E_F)   9.7 states/eV/f.u.
Symmetry   Pm-3m (221)
Calculated density   5.3 Mg/m³
Distance to the lowest polymorph of the same formula   493 meV/atom